Record 1
A plane-wave DFT calculation with PBE was carried out for an optimized crystal structure of NdCdGa.

Symmetry: Pmmm
Energy of formation in kJ/mol of formula units: -41

Cell lengths 4.450, 5.112, 7.306 Å; angles 90.00, 90.00, 90.00 degrees
Positions (direct):
Cd 0.500 0.001 0.750
Cd 0.500 0.999 0.250
Nd 0.000 0.500 0.750
Nd 0.000 0.500 0.250
Ga 0.000 0.000 0.500
Ga 0.000 0.000 0.000


Record 2
A plane-wave DFT calculation with PBE was carried out for an optimized crystal structure of Ba2Sr2I7.

Symmetry: Cmmm
Total DFT energy (no corrections) in eV per formula unit: -35.5

Cell lengths 8.068, 8.310, 8.068 Å; angles 89.99, 97.58, 90.01 degrees
Each line ends with the local moment (μB).
Positions (direct):
I 0.000 0.255 0.500  0.00
I 0.000 0.000 0.000  0.01
I 0.500 0.758 0.500  0.01
I 0.000 0.745 0.500  0.00
I 0.500 0.745 0.000  0.00
I 0.500 0.255 0.000  0.00
I 0.500 0.242 0.500  0.01
Sr 0.273 0.000 0.727  0.00
Sr 0.727 0.000 0.273  0.00
Ba 0.770 0.500 0.770  0.09
Ba 0.230 0.500 0.230  0.09


Record 3
A plane-wave DFT calculation with PBE was carried out for an optimized crystal structure of Th3GaGe2.

Symmetry: Pnma
Energy of formation in kJ/mol of formula units: -343

Cell lengths 4.265, 11.842, 12.214 Å; angles 90.00, 90.00, 90.00 degrees
Positions (direct):
Ge 0.750 0.002 0.692
Ge 0.750 0.194 0.017
Ge 0.750 0.498 0.192
Ge 0.250 0.806 0.983
Ge 0.250 0.694 0.483
Ge 0.750 0.306 0.517
Ge 0.250 0.998 0.308
Ge 0.250 0.502 0.808
Th 0.250 0.121 0.551
Th 0.750 0.621 0.949
Th 0.250 0.063 0.881
Th 0.250 0.788 0.713
Th 0.750 0.212 0.287
Th 0.750 0.937 0.119
Th 0.750 0.563 0.619
Th 0.250 0.437 0.381
Th 0.250 0.379 0.051
Th 0.250 0.712 0.213
Th 0.750 0.288 0.787
Th 0.750 0.879 0.449
Ga 0.250 0.373 0.630
Ga 0.750 0.627 0.370
Ga 0.250 0.127 0.130
Ga 0.750 0.873 0.870


Record 4
A plane-wave DFT calculation with PBE was carried out for an optimized crystal structure of LaSmSiPd.

Symmetry: F-43m
E above lowest polymorph in meV per atom: 132

Cell lengths 5.169, 5.169, 5.169 Å; angles 60.00, 60.00, 60.00 degrees
Positions (direct):
Pd 0.250 0.250 0.250
Si 0.750 0.750 0.750
La 0.500 0.500 0.500
Sm 0.000 0.000 0.000